{
  "formula": "Cr2AgOsBr",
  "functional": "PBE",
  "state": "optimized geometry",
  "magmom_total_mub_per_cell": 6.4,
  "n_ef_per_ev_cell": 6.01,
  "spacegroup": "P4/mmm (123)",
  "formation_energy_uncorrected_ev_per_atom": 1.14,
  "lattice_angstrom": [[4.7120, 0.0000, 0.0000], [0.0000, 5.2362, 0.0000], [0.0000, 0.0000, 4.7120]],
  "species": ["Cr", "Cr", "Ag", "Br", "Os"],
  "fractional_positions": [[0.0000, 0.0000, 0.5000], [0.5000, 0.0000, 0.0000], [0.0000, 0.5000, 0.0000], [0.5000, 0.5000, 0.5000], [0.0000, 0.0000, 0.0000]]
}

=====

{
  "formula": "Hf2SeN",
  "functional": "PBE",
  "state": "optimized geometry",
  "magmom_total_mub_per_cell": 0.0,
  "n_ef_per_ev_cell": 3.30,
  "spacegroup": "I-42d (122)",
  "formation_energy_uncorrected_ev_per_atom": -1.00,
  "e_above_lowest_polymorph_ev_per_atom": 0.279,
  "lattice_angstrom": [[-4.0450, 2.2482, -2.9184], [-3.6836, -2.5199, 3.1645], [-3.9068, 4.0329, 3.3933]],
  "species": ["N", "N", "Hf", "Hf", "Hf", "Hf", "Se", "Se"],
  "fractional_positions": [[0.5000, 0.5000, 0.0000], [0.2500, 0.7500, 0.5000], [0.5424, 0.1250, 0.2500], [0.2076, 0.6250, 0.2500], [0.8750, 0.7924, 0.7500], [0.3750, 0.4576, 0.7500], [0.7500, 0.2500, 0.5000], [0.0000, 0.0000, 0.0000]]
}

=====

{
  "formula": "SrRe2Ru",
  "functional": "PBE",
  "state": "optimized geometry",
  "magmom_total_mub_per_cell": 0.0,
  "n_ef_per_ev_cell": 4.82,
  "spacegroup": "P4/mmm (123)",
  "formation_energy_ev_per_atom": 0.719,
  "e_above_lowest_polymorph_ev_per_atom": 0.125,
  "lattice_angstrom": [[-1.4212, -2.3912, -0.2353], [1.9632, -1.3141, 1.4872], [-4.5259, 1.9339, 7.6835]],
  "species": ["Sr", "Re", "Re", "Ru"],
  "fractional_positions": [[0.5000, 0.5000, 0.7500], [0.0000, 0.0000, 0.4540], [0.0000, 0.0000, 0.0460], [0.5000, 0.5000, 0.2500]]
}

=====

{
  "formula": "Ca2Mg",
  "functional": "PBE",
  "state": "optimized geometry",
  "magmom_total_mub_per_cell": 0.0,
  "n_ef_per_ev_cell": 6.35,
  "spacegroup": "Cmmm (65)",
  "formation_energy_ev_per_atom": -0.020,
  "lattice_angstrom": [[-4.7367, 5.2853, 4.1761], [2.4238, -2.0647, -7.5943], [-3.9064, -3.2042, -0.3756]],
  "species": ["Mg", "Mg", "Ca", "Ca", "Ca", "Ca"],
  "fractional_positions": [[0.8014, 0.1986, 0.5000], [0.1431, 0.8569, 0.5000], [0.9722, 0.0278, 0.0000], [0.6445, 0.3555, 0.0000], [0.2999, 0.7001, 0.0000], [0.4722, 0.5278, 0.5000]]
}

=====

{
  "formula": "La3Tm2ScSe6",
  "functional": "PBE",
  "state": "optimized geometry",
  "magmom_total_mub_per_cell": 0.0,
  "n_ef_per_ev_cell": 6.02,
  "spacegroup": "C2/m (12)",
  "formation_energy_uncorrected_ev_per_atom": -1.82,
  "lattice_angstrom": [[-0.4464, -6.8736, 1.5954], [2.2259, 4.6355, 4.8527], [-7.1669, 1.6719, -0.0278]],
  "species": ["Tm", "Tm", "La", "La", "La", "Se", "Se", "Se", "Se", "Se", "Se", "Sc"],
  "fractional_positions": [[0.6661, 0.3339, 0.0000], [0.3339, 0.6661, 0.0000], [0.5000, 0.5000, 0.5000], [0.8312, 0.1688, 0.5000], [0.1688, 0.8312, 0.5000], [0.4012, 0.0734, 0.2213], [0.9266, 0.5988, 0.7787], [0.5988, 0.9266, 0.7787], [0.0734, 0.4012, 0.2213], [0.2529, 0.2529, 0.7762], [0.7471, 0.7471, 0.2238], [0.0000, 0.0000, 0.0000]]
}

=====

{
  "formula": "SiC3",
  "functional": "PBE",
  "state": "optimized geometry",
  "magmom_total_mub_per_cell": 0.0,
  "n_ef_per_ev_cell": 0.49,
  "spacegroup": "Imm2 (44)",
  "formation_energy_uncorrected_ev_per_atom": 0.75,
  "e_above_lowest_polymorph_ev_per_atom": 0.250,
  "lattice_angstrom": [[-1.2665, 4.1763, 0.6867], [0.1456, -1.6931, -4.0779], [-2.6599, -0.2017, 3.5215]],
  "species": ["C", "C", "C", "Si"],
  "fractional_positions": [[0.1457, 0.5000, 0.6457], [0.1929, 0.3479, 0.8450], [0.4971, 0.6521, 0.8450], [0.9976, 0.0000, 0.9976]]
}